Record 1
The following is a GGA-PBE calculation of crystalline SrBP2O at its relaxed geometry, from Alexandria via LeMat-Bulk.

Summary:
DOS at the Fermi energy, states/eV/atom: 0.85
Formation energy without anion corrections, kJ/mol of atoms: 158.80
Symmetry: P4/mmm (123)
Energy, eV per atom: -3.182

a b c (Å): 5.934 5.934 4.435
angles (deg): 90.00 90.00 90.00
Site moments in Bohr magnetons follow the coordinates.
Fractional positions:
1 P 0.500 0.000 0.000  0.83
2 Sr 0.000 0.000 0.000  0.09
3 B 0.500 0.500 0.500  -0.01
4 O 0.000 0.000 0.500  0.68
5 P 0.000 0.500 0.000  0.83


Record 2
The following is a GGA-PBE calculation of crystalline Pr2Y4HoMg at its relaxed geometry, from Alexandria via LeMat-Bulk.

Summary:
DOS at the Fermi energy, states/eV/atom: 1.66
Symmetry: Pmmm (47)
Energy relative to the elements, eV/atom: 0.030
Energy, eV per atom: -5.168

a b c (Å): 5.015 5.026 11.370
angles (deg): 63.77 90.00 90.00
Fractional positions:
1 Y 0.500 0.249 0.751
2 Y 0.000 0.749 0.751
3 Pr 0.500 0.000 0.500
4 Mg 0.500 0.500 0.000
5 Y 0.000 0.251 0.249
6 Ho 0.000 0.500 0.500
7 Y 0.500 0.751 0.249
8 Pr 0.000 0.000 0.000


Record 3
The following is a GGA-PBE calculation of crystalline PPt2W at its relaxed geometry, from Alexandria via LeMat-Bulk.

Summary:
DOS at the Fermi energy, states/eV/atom: 1.02
Symmetry: R-3m (166)
Energy relative to the elements, eV/atom: 0.011
Energy, eV per atom: -7.601

a b c (Å): 8.793 8.793 8.793
angles (deg): 18.64 18.64 18.64
Fractional positions:
1 P 0.000 0.000 0.000
2 Pt 0.255 0.255 0.255
3 W 0.500 0.500 0.500
4 Pt 0.745 0.745 0.745


Record 4
The following is a GGA-PBE calculation of crystalline LiMg3Au2 at its relaxed geometry, from Alexandria via LeMat-Bulk.

Summary:
DOS at the Fermi energy, states/eV/atom: 0.25
Symmetry: P2/m (10)
Energy relative to the elements, eV/atom: -0.485
Energy, eV per atom: -2.694

a b c (Å): 4.543 6.974 8.027
angles (deg): 115.74 105.98 90.00
Fractional positions:
1 Li 0.000 0.500 0.000
2 Au 0.342 0.842 0.684
3 Mg 0.827 0.577 0.654
4 Mg 0.500 0.250 0.000
5 Au 0.658 0.658 0.316
6 Mg 0.827 0.077 0.654
7 Au 0.658 0.158 0.316
8 Mg 0.173 0.423 0.346
9 Li 0.000 0.000 0.000
10 Mg 0.500 0.750 0.000
11 Mg 0.173 0.923 0.346
12 Au 0.342 0.342 0.684


Record 5
The following is a GGA-PBE calculation of crystalline Ac2PuHgO8 at its relaxed geometry, from Alexandria via LeMat-Bulk.

Summary:
Formation energy without anion corrections, kJ/mol of atoms: -226.74
Symmetry: P2/m (10)
Energy, eV per atom: -7.560

a b c (Å): 4.508 5.484 8.250
angles (deg): 90.00 90.00 97.33
Fractional positions:
1 O 0.395 0.216 0.000
2 O 0.920 0.226 0.179
3 O 0.672 0.716 0.500
4 O 0.920 0.226 0.821
5 O 0.605 0.784 0.000
6 O 0.080 0.774 0.179
7 O 0.328 0.284 0.500
8 O 0.080 0.774 0.821
9 Ac 0.500 0.500 0.750
10 Pu 0.000 0.000 0.000
11 Ac 0.500 0.500 0.250
12 Hg 0.000 0.000 0.500


Record 6
The following is a GGA-PBE calculation of crystalline ZrAlRe2 at its relaxed geometry, from Alexandria via LeMat-Bulk.

Summary:
DOS at the Fermi energy, states/eV/atom: 0.88
Symmetry: Pmm2 (25)
Energy relative to the elements, eV/atom: -0.052
Energy, eV per atom: -9.348

a b c (Å): 2.926 4.075 5.563
angles (deg): 90.00 90.00 90.00
Fractional positions:
1 Re 0.000 0.000 0.011
2 Al 0.500 0.500 0.762
3 Re 0.500 0.500 0.229
4 Zr 0.000 0.000 0.498


Record 7
The following is a GGA-PBE calculation of crystalline ZrAu2Se at its relaxed geometry, from Alexandria via LeMat-Bulk.

Summary:
DOS at the Fermi energy, states/eV/atom: 0.45
Formation energy without anion corrections, kJ/mol of atoms: -38.34
Symmetry: P2/m (10)
Energy, eV per atom: -5.044

a b c (Å): 3.639 4.102 5.903
angles (deg): 67.38 90.00 90.00
Fractional positions:
1 Au 0.000 0.000 0.000
2 Se 0.500 0.500 0.500
3 Zr 0.000 0.000 0.500
4 Au 0.500 0.500 0.000


Record 8
The following is a GGA-PBE calculation of crystalline Ca5Pu at its relaxed geometry, from Alexandria via LeMat-Bulk.

Summary:
DOS at the Fermi energy, states/eV/atom: 3.07
Symmetry: Cmmm (65)
Energy relative to the elements, eV/atom: 0.182
Energy, eV per atom: -3.875

a b c (Å): 4.071 6.213 9.800
angles (deg): 108.48 90.00 90.00
Site moments in Bohr magnetons follow the coordinates.
Fractional positions:
1 Ca 0.000 0.667 0.335  0.01
2 Ca 0.500 0.160 0.320  0.06
3 Ca 0.500 0.840 0.680  0.06
4 Pu 0.000 0.000 0.000  5.83
5 Ca 0.000 0.333 0.665  0.01
6 Ca 0.500 0.500 0.000  0.07


Record 9
The following is a GGA-PBE calculation of crystalline DySc5Bi6 at its relaxed geometry, from Alexandria via LeMat-Bulk.

Summary:
DOS at the Fermi energy, states/eV/atom: 0.22
Symmetry: C2/m (12)
Energy relative to the elements, eV/atom: -0.689
Energy, eV per atom: -5.652

a b c (Å): 7.458 7.450 7.454
angles (deg): 60.01 80.39 70.48
Fractional positions:
1 Bi 0.748 0.741 0.000
2 Sc 0.500 0.838 0.324
3 Bi 0.743 0.086 0.342
4 Sc 0.000 0.668 0.663
5 Bi 0.252 0.259 0.000
6 Dy 0.000 0.000 0.000
7 Bi 0.257 0.572 0.342
8 Sc 0.000 0.332 0.337
9 Sc 0.500 0.162 0.676
10 Sc 0.500 0.500 0.000
11 Bi 0.743 0.428 0.658
12 Bi 0.257 0.914 0.658


Record 10
The following is a GGA-PBE calculation of crystalline Dy3Zr2Zn3 at its relaxed geometry, from Alexandria via LeMat-Bulk.

Summary:
DOS at the Fermi energy, states/eV/atom: 0.73
Symmetry: Immm (71)
Energy relative to the elements, eV/atom: -0.233
Energy, eV per atom: -4.573

a b c (Å): 3.447 5.041 10.905
angles (deg): 103.36 99.09 90.00
Fractional positions:
1 Dy 0.500 0.000 0.000
2 Zr 0.267 0.767 0.535
3 Dy 0.376 0.376 0.751
4 Dy 0.624 0.624 0.249
5 Zr 0.733 0.233 0.465
6 Zn 0.881 0.881 0.762
7 Zn 0.000 0.500 0.000
8 Zn 0.119 0.119 0.238


Record 11
The following is a GGA-PBE calculation of crystalline Sm7BBr12 at its relaxed geometry, from Alexandria via LeMat-Bulk.

Summary:
DOS at the Fermi energy, states/eV/atom: 0.62
Formation energy without anion corrections, kJ/mol of atoms: -154.30
Symmetry: R-3 (148)
Energy, eV per atom: -4.588

a b c (Å): 9.219 9.219 9.219
angles (deg): 107.61 107.61 107.61
Fractional positions:
1 Br 0.078 0.688 0.227
2 Br 0.471 0.156 0.389
3 Br 0.312 0.773 0.922
4 Br 0.156 0.389 0.471
5 Sm 0.689 0.894 0.967
6 B 0.000 0.000 0.000
7 Sm 0.894 0.967 0.689
8 Sm 0.500 0.500 0.500
9 Br 0.529 0.844 0.611
10 Br 0.922 0.312 0.773
11 Sm 0.033 0.311 0.106
12 Br 0.688 0.227 0.078
13 Br 0.389 0.471 0.156
14 Sm 0.311 0.106 0.033
15 Br 0.773 0.922 0.312
16 Sm 0.106 0.033 0.311
17 Br 0.227 0.078 0.688
18 Br 0.611 0.529 0.844
19 Sm 0.967 0.689 0.894
20 Br 0.844 0.611 0.529


Record 12
The following is a GGA-PBE calculation of crystalline Pr2NdAg2 at its relaxed geometry, from Alexandria via LeMat-Bulk.

Summary:
DOS at the Fermi energy, states/eV/atom: 1.08
Symmetry: P2_1/m (11)
Energy relative to the elements, eV/atom: -0.179
Energy, eV per atom: -4.185

a b c (Å): 3.779 5.459 14.054
angles (deg): 90.00 97.67 90.00
Fractional positions:
1 Pr 0.047 0.750 0.096
2 Nd 0.855 0.750 0.710
3 Pr 0.953 0.250 0.904
4 Ag 0.642 0.750 0.283
5 Ag 0.547 0.250 0.097
6 Pr 0.765 0.250 0.532
7 Ag 0.453 0.750 0.903
8 Pr 0.235 0.750 0.468
9 Nd 0.145 0.250 0.290
10 Ag 0.358 0.250 0.717


Record 13
The following is a GGA-PBE calculation of crystalline Li2ZrBr6 at its relaxed geometry, from Alexandria via LeMat-Bulk.

Summary:
DOS at the Fermi energy, states/eV/atom: 0.00
Formation energy without anion corrections, kJ/mol of atoms: -138.44
Symmetry: P2_1/c (14)
Energy, eV per atom: -3.925

a b c (Å): 6.780 6.523 11.663
angles (deg): 90.00 89.98 90.00
Fractional positions:
1 Li 0.500 0.001 0.331
2 Li 0.500 0.999 0.669
3 Br 0.179 0.269 0.000
4 Br 0.834 0.767 0.661
5 Li 0.000 0.499 0.831
6 Br 0.321 0.769 0.500
7 Br 0.666 0.268 0.161
8 Li 0.000 0.501 0.169
9 Br 0.166 0.232 0.661
10 Zr 0.500 0.500 0.000
11 Br 0.166 0.233 0.339
12 Br 0.666 0.267 0.839
13 Br 0.334 0.732 0.839
14 Br 0.821 0.731 0.000
15 Br 0.334 0.733 0.161
16 Br 0.834 0.768 0.339
17 Br 0.679 0.231 0.500
18 Zr 0.000 0.000 0.500


Record 14
The following is a GGA-PBE calculation of crystalline Pr4CuAg at its relaxed geometry, from Alexandria via LeMat-Bulk.

Summary:
DOS at the Fermi energy, states/eV/atom: 1.40
Symmetry: P4/mmm (123)
Energy relative to the elements, eV/atom: -0.095
Energy, eV per atom: -4.439

a b c (Å): 3.700 3.700 12.866
angles (deg): 90.00 90.00 90.00
Fractional positions:
1 Pr 0.000 0.000 0.347
2 Pr 0.000 0.000 0.653
3 Cu 0.000 0.000 0.000
4 Pr 0.500 0.500 0.134
5 Ag 0.500 0.500 0.500
6 Pr 0.500 0.500 0.866


Record 15
The following is a GGA-PBE calculation of crystalline TaRh2Au at its relaxed geometry, from Alexandria via LeMat-Bulk.

Summary:
DOS at the Fermi energy, states/eV/atom: 1.00
Symmetry: C2/m (12)
Energy relative to the elements, eV/atom: -0.207
Energy, eV per atom: -7.665

a b c (Å): 4.752 4.752 4.827
angles (deg): 74.79 74.79 38.49
Fractional positions:
1 Rh 0.735 0.735 0.266
2 Ta 0.000 0.000 0.500
3 Au 0.500 0.500 0.000
4 Rh 0.265 0.265 0.734


Record 16
The following is a GGA-PBE calculation of crystalline Ho7Sb2Os2 at its relaxed geometry, from Alexandria via LeMat-Bulk.

Summary:
DOS at the Fermi energy, states/eV/atom: 0.73
Formation energy without anion corrections, kJ/mol of atoms: -52.01
Symmetry: Imm2 (44)
Energy, eV per atom: -6.243

a b c (Å): 4.089 9.282 9.282
angles (deg): 58.45 77.27 77.27
Fractional positions:
1 Ho 0.848 0.422 0.881
2 Ho 0.814 0.082 0.290
3 Sb 0.500 0.349 0.651
4 Ho 0.370 0.739 0.521
5 Ho 0.500 0.016 0.984
6 Sb 0.000 0.765 0.235
7 Ho 0.186 0.710 0.918
8 Os 0.259 0.327 0.155
9 Os 0.741 0.845 0.673
10 Ho 0.630 0.479 0.261
11 Ho 0.152 0.119 0.578


Record 17
The following is a GGA-PBE calculation of crystalline SrNiSb2 at its relaxed geometry, from Alexandria via LeMat-Bulk.

Summary:
DOS at the Fermi energy, states/eV/atom: 0.50
Formation energy without anion corrections, kJ/mol of atoms: -38.48
Symmetry: Cm (8)
Energy, eV per atom: -4.326

a b c (Å): 5.922 5.922 5.362
angles (deg): 68.11 68.11 40.75
Fractional positions:
1 Sb 0.894 0.894 0.189
2 Sr 0.542 0.542 0.476
3 Sb 0.753 0.753 0.807
4 Ni 0.312 0.312 0.028


Record 18
The following is a GGA-PBE calculation of crystalline Cr2AgCl at its relaxed geometry, from Alexandria via LeMat-Bulk.

Summary:
DOS at the Fermi energy, states/eV/atom: 0.69
Formation energy without anion corrections, kJ/mol of atoms: 47.73
Symmetry: Imm2 (44)
Energy, eV per atom: -5.491

a b c (Å): 6.771 6.771 6.771
angles (deg): 153.27 144.32 45.14
Site moments in Bohr magnetons follow the coordinates.
Fractional positions:
1 Cl 0.806 0.306 0.500  -0.01
2 Cr 0.187 0.687 0.500  4.06
3 Ag 0.544 0.544 0.000  0.10
4 Cr 0.963 0.963 0.000  3.69


Record 19
The following is a GGA-PBE calculation of crystalline SiMo2N at its relaxed geometry, from Alexandria via LeMat-Bulk.

Summary:
DOS at the Fermi energy, states/eV/atom: 0.82
Formation energy without anion corrections, kJ/mol of atoms: -14.84
Symmetry: R-3m (166)
Energy, eV per atom: -9.006

a b c (Å): 2.869 2.869 7.222
angles (deg): 78.55 78.55 60.00
Fractional positions:
1 Mo 0.732 0.732 0.804
2 Mo 0.268 0.268 0.196
3 Si 0.500 0.500 0.500
4 N 0.000 0.000 0.000